Entry 1:
Density functional theory data (PBE-GGA) for Dy6Ho8Al after structural relaxation.

The electronic total energy comes out at -4.438 eV/atom.

Cell: 6.154 9.341 9.341 Å, 120.00 90.00 90.00°
Sites, in units of the cell vectors:
Dy 0.692 0.636 0.093
Dy 0.692 0.907 0.544
Dy 0.692 0.456 0.364
Dy 0.308 0.364 0.907
Dy 0.308 0.093 0.456
Dy 0.308 0.544 0.636
Ho 0.801 0.041 0.261
Ho 0.801 0.739 0.780
Ho 0.801 0.220 0.959
Ho 0.199 0.959 0.739
Ho 0.199 0.261 0.220
Ho 0.199 0.780 0.041
Ho 0.807 0.333 0.667
Ho 0.193 0.667 0.333
Al 0.500 0.000 0.000

***

Entry 2:
Density functional theory data (PBE-GGA) for Re2SbPb after structural relaxation.

The value obtained for the uncorrected formation energy is 4.1 eV/f.u. The energy above the most stable polymorph in this dataset is 690 meV/atom.

Cell: 4.057 3.085 6.643 Å, 88.31 90.00 90.00°
Sites, in units of the cell vectors:
Pb 0.500 0.750 0.750
Re 0.000 0.768 0.064
Re 0.000 0.732 0.436
Sb 0.500 0.250 0.250

***

Entry 3:
Density functional theory data (PBE-GGA) for LaTmZrSc after structural relaxation.

The electronic total energy comes out at -5.904 eV/atom.

Cell: 5.403 5.403 5.403 Å, 60.00 60.00 60.00°
Sites, in units of the cell vectors:
Sc 0.000 0.000 0.000
Tm 0.500 0.500 0.500
Zr 0.750 0.750 0.750
La 0.250 0.250 0.250

***

Density of states at the Fermi level? In order: 19.75, 4.19, 7.09 states/eV per cell.